Mn2BeP | PBE-GGA | optimized geometry

Geometry as POSCAR:
```
Mn2BeP
1.0
2.628 0.000 0.000
0.000 3.195 0.000
-0.566 0.000 5.042
Mn Be P
2 1 1
direct
0.067 0.000 0.252 Mn
0.933 0.000 0.748 Mn
0.500 0.500 0.000 Be
0.500 0.500 0.500 P
```

Computed properties:
**Formation energy from the elements**: -0.1641 eV/atom
**Crystal system**: monoclinic
**ΔE to the lowest computed polymorph**: 0.162 eV/atom

***

CdAsI2N | PBE-GGA | optimized geometry

Geometry as POSCAR:
```
CdAsI2N
1.0
6.029 0.000 0.000
0.000 6.029 0.000
0.000 0.000 4.223
Cd As I N
1 1 2 1
direct
0.000 0.000 0.000 Cd
0.500 0.500 0.500 As
0.000 0.500 0.000 I
0.500 0.000 0.000 I
0.000 0.000 0.500 N
```

Computed properties:
**Crystal system**: tetragonal
**ΔE to the lowest computed polymorph**: 0.486 eV/atom
**E_form (uncorrected)**: 5.3 eV per formula unit

***

NaIn3Ag2 | PBE-GGA | optimized geometry

Geometry as POSCAR:
```
NaIn3Ag2
1.0
-2.353 4.351 7.092
2.353 -4.351 7.092
2.353 4.351 -7.092
Na In Ag
2 6 4
direct
0.123 0.123 0.000 Na
0.877 0.877 0.000 Na
0.121 0.322 0.799 In
0.333 0.000 0.333 In
0.477 0.678 0.799 In
0.523 0.322 0.201 In
0.667 0.000 0.667 In
0.879 0.678 0.201 In
0.158 0.500 0.658 Ag
0.300 0.800 0.500 Ag
0.700 0.200 0.500 Ag
0.842 0.500 0.342 Ag
```

Computed properties:
**Formation energy from the elements**: -0.0581 eV/atom
**Crystal system**: orthorhombic
**ΔE to the lowest computed polymorph**: 0.000 eV/atom

***

NaFeAs2Ru | PBE-GGA | optimized geometry

Geometry as POSCAR:
```
NaFeAs2Ru
1.0
-2.011 2.011 5.495
2.011 -2.011 5.495
2.011 2.011 -5.495
Na Fe As Ru
1 1 2 1
direct
0.000 0.000 0.000 Na
0.250 0.750 0.500 Fe
0.368 0.368 0.000 As
0.632 0.632 0.000 As
0.750 0.250 0.500 Ru
```

Computed properties:
**Formation energy from the elements**: -0.2769 eV/atom
**Crystal system**: tetragonal

***

Sr2Tl2Ir | PBE-GGA | optimized geometry

Geometry as POSCAR:
```
Sr2Tl2Ir
1.0
7.460 0.000 0.000
0.000 7.460 0.000
0.000 0.000 5.240
Sr Tl Ir
4 4 2
direct
0.179 0.321 0.000 Sr
0.321 0.821 0.000 Sr
0.679 0.179 0.000 Sr
0.821 0.679 0.000 Sr
0.145 0.645 0.500 Tl
0.355 0.145 0.500 Tl
0.645 0.855 0.500 Tl
0.855 0.355 0.500 Tl
0.000 0.000 0.500 Ir
0.500 0.500 0.500 Ir
```

Computed properties:
**Formation energy from the elements**: -0.0213 eV/atom
**Crystal system**: tetragonal
**ΔE to the lowest computed polymorph**: 0.000 eV/atom

***

NbBrN2 | PBE-GGA | optimized geometry

Geometry as POSCAR:
```
NbBrN2
1.0
0.000 2.865 2.865
2.865 0.000 2.865
2.865 2.865 0.000
Nb Br N
1 1 2
direct
0.000 0.000 0.000 Nb
0.500 0.500 0.500 Br
0.250 0.250 0.250 N
0.750 0.750 0.750 N
```

Computed properties:
**Crystal system**: cubic
**ΔE to the lowest computed polymorph**: 1.426 eV/atom
**E_form (uncorrected)**: 5.8 eV per formula unit

***

PmUPb | PBE-GGA | optimized geometry

Geometry as POSCAR:
```
PmUPb
1.0
3.436 0.000 0.000
-1.710 6.334 0.000
-0.016 -0.869 7.958
Pm U Pb
2 2 2
direct
0.131 0.260 0.466 Pm
0.869 0.740 0.534 Pm
0.264 0.528 0.883 U
0.736 0.472 0.117 U
0.465 0.930 0.190 Pb
0.535 0.070 0.810 Pb
```

Computed properties:
**Formation energy from the elements**: 0.1058 eV/atom
**Crystal system**: triclinic

***

UAlPd6 | PBE-GGA | optimized geometry

Geometry as POSCAR:
```
UAlPd6
1.0
4.048 0.000 0.000
0.000 4.048 0.000
0.000 0.000 7.958
U Al Pd
1 1 6
direct
0.000 0.000 0.000 U
0.000 0.000 0.500 Al
0.000 0.500 0.260 Pd
0.000 0.500 0.740 Pd
0.500 0.000 0.260 Pd
0.500 0.000 0.740 Pd
0.500 0.500 0.000 Pd
0.500 0.500 0.500 Pd
```

Computed properties:
**Formation energy from the elements**: -0.5899 eV/atom
**Crystal system**: tetragonal

***

YThCd2 | PBE-GGA | optimized geometry

Geometry as POSCAR:
```
YThCd2
1.0
3.527 0.000 0.000
0.000 3.527 0.000
0.000 0.000 8.690
Y Th Cd
1 1 2
direct
0.000 0.000 0.000 Y
0.000 0.000 0.500 Th
0.500 0.500 0.236 Cd
0.500 0.500 0.764 Cd
```

Computed properties:
**Formation energy from the elements**: -0.2108 eV/atom
**Crystal system**: tetragonal
**ΔE to the lowest computed polymorph**: 0.000 eV/atom

***

Tb8Cd2Ag | PBE-GGA | optimized geometry

Geometry as POSCAR:
```
Tb8Cd2Ag
1.0
9.008 -2.634 0.000
9.008 2.634 0.000
-1.989 0.000 6.730
Tb Cd Ag
8 2 1
direct
0.022 0.022 0.269 Tb
0.197 0.197 0.796 Tb
0.339 0.339 0.540 Tb
0.408 0.408 0.046 Tb
0.592 0.592 0.954 Tb
0.661 0.661 0.460 Tb
0.803 0.803 0.204 Tb
0.978 0.978 0.731 Tb
0.187 0.187 0.218 Cd
0.813 0.813 0.782 Cd
0.500 0.500 0.500 Ag
```

Computed properties:
**Formation energy from the elements**: -0.1092 eV/atom
**Crystal system**: monoclinic

***

CdRh | PBE-GGA | optimized geometry

Geometry as POSCAR:
```
CdRh
1.0
5.257 -1.465 0.000
5.257 1.465 0.000
-2.028 0.000 6.617
Cd Rh
3 3
direct
0.000 0.000 0.000 Cd
0.034 0.034 0.600 Cd
0.681 0.681 0.344 Cd
0.318 0.318 0.684 Rh
0.385 0.385 0.255 Rh
0.722 0.722 0.943 Rh
```

Computed properties:
**Formation energy from the elements**: -0.0207 eV/atom
**Crystal system**: monoclinic

***

ZrFe2Br | PBE-GGA | optimized geometry

Geometry as POSCAR:
```
ZrFe2Br
1.0
2.630 -4.170 0.000
2.630 4.170 0.000
0.000 0.000 3.229
Zr Fe Br
1 2 1
direct
0.000 0.000 0.000 Zr
0.000 0.500 0.500 Fe
0.500 0.000 0.500 Fe
0.500 0.500 0.000 Br
```

Computed properties:
**Crystal system**: orthorhombic
**ΔE to the lowest computed polymorph**: 0.423 eV/atom
**E_form (uncorrected)**: 1.7 eV per formula unit

***

Sb2Rh2Au | PBE-GGA | optimized geometry

Geometry as POSCAR:
```
Sb2Rh2Au
1.0
-2.001 2.001 6.628
2.001 -2.001 6.628
2.001 2.001 -6.628
Sb Rh Au
2 2 1
direct
0.121 0.121 0.000 Sb
0.879 0.879 0.000 Sb
0.250 0.750 0.500 Rh
0.750 0.250 0.500 Rh
0.500 0.500 0.000 Au
```

Computed properties:
**Crystal system**: tetragonal
**ΔE to the lowest computed polymorph**: 0.176 eV/atom
**E_form (uncorrected)**: -0.2 eV per formula unit

***

ThPaCuRh | PBE-GGA | optimized geometry

Geometry as POSCAR:
```
ThPaCuRh
1.0
0.000 3.507 3.507
3.507 0.000 3.507
3.507 3.507 0.000
Th Pa Cu Rh
1 1 1 1
direct
0.000 0.000 0.000 Th
0.500 0.500 0.500 Pa
0.250 0.250 0.250 Cu
0.750 0.750 0.750 Rh
```

Computed properties:
**Formation energy from the elements**: -0.2544 eV/atom
**Crystal system**: cubic

***

Sr2La4N | PBE-GGA | optimized geometry

Geometry as POSCAR:
```
Sr2La4N
1.0
-2.645 2.645 9.621
2.645 -2.645 9.621
2.645 2.645 -9.621
Sr La N
2 4 1
direct
0.170 0.170 0.000 Sr
0.830 0.830 0.000 Sr
0.000 0.500 0.500 La
0.379 0.379 0.000 La
0.500 0.000 0.500 La
0.621 0.621 0.000 La
0.500 0.500 0.000 N
```

Computed properties:
**Crystal system**: tetragonal
**E_form (uncorrected)**: -1.7 eV per formula unit

***

CsV3W | PBE-GGA | optimized geometry

Geometry as POSCAR:
```
CsV3W
1.0
5.024 0.000 0.000
0.000 5.024 0.000
0.000 0.000 5.024
Cs V W
1 3 1
direct
0.000 0.000 0.000 Cs
0.000 0.500 0.500 V
0.500 0.000 0.500 V
0.500 0.500 0.000 V
0.500 0.500 0.500 W
```

Computed properties:
**Formation energy from the elements**: 1.6284 eV/atom
**Crystal system**: cubic
**ΔE to the lowest computed polymorph**: 0.000 eV/atom

***

AsH2Rh2 | PBE-GGA | optimized geometry

Geometry as POSCAR:
```
AsH2Rh2
1.0
-1.563 1.563 5.189
1.563 -1.563 5.189
1.563 1.563 -5.189
As H Rh
1 2 2
direct
0.000 0.000 0.000 As
0.250 0.750 0.500 H
0.750 0.250 0.500 H
0.358 0.358 0.000 Rh
0.642 0.642 0.000 Rh
```

Computed properties:
**Crystal system**: tetragonal
**ΔE to the lowest computed polymorph**: 0.000 eV/atom

***

LiZrV3 | PBE-GGA | optimized geometry

Geometry as POSCAR:
```
LiZrV3
1.0
4.287 0.000 0.000
0.000 4.287 0.000
0.000 0.000 4.287
Li Zr V
1 1 3
direct
0.000 0.000 0.000 Li
0.500 0.500 0.500 Zr
0.000 0.000 0.500 V
0.000 0.500 0.000 V
0.500 0.000 0.000 V
```

Computed properties:
**Formation energy from the elements**: 1.0255 eV/atom
**Crystal system**: cubic
**ΔE to the lowest computed polymorph**: 0.000 eV/atom

***

Ho3ThIn4 | PBE-GGA | optimized geometry

Geometry as POSCAR:
```
Ho3ThIn4
1.0
10.800 0.000 0.000
0.000 7.183 0.000
0.000 0.000 5.561
Ho Th In
6 2 8
direct
0.000 0.000 0.000 Ho
0.250 0.000 0.408 Ho
0.250 0.500 0.415 Ho
0.500 0.000 0.000 Ho
0.750 0.000 0.592 Ho
0.750 0.500 0.585 Ho
0.000 0.500 0.000 Th
0.500 0.500 0.000 Th
0.000 0.238 0.500 In
0.000 0.762 0.500 In
0.250 0.239 0.903 In
0.250 0.761 0.903 In
0.500 0.238 0.500 In
0.500 0.762 0.500 In
0.750 0.239 0.097 In
0.750 0.761 0.097 In
```

Computed properties:
**Formation energy from the elements**: -0.3895 eV/atom
**Crystal system**: orthorhombic

***

Th8Te3C3N | PBE-GGA | optimized geometry

Geometry as POSCAR:
```
Th8Te3C3N
1.0
6.694 -3.860 0.000
6.694 3.860 0.000
-4.466 0.000 7.446
Th Te C N
8 3 3 1
direct
0.227 0.729 0.685 Th
0.229 0.229 0.686 Th
0.270 0.270 0.314 Th
0.271 0.773 0.315 Th
0.729 0.227 0.685 Th
0.730 0.730 0.686 Th
0.771 0.771 0.314 Th
0.773 0.271 0.315 Th
0.000 0.500 0.000 Te
0.500 0.000 0.000 Te
0.500 0.500 0.000 Te
0.000 0.000 0.500 C
0.000 0.500 0.500 C
0.500 0.000 0.500 C
0.500 0.500 0.500 N
```

Computed properties:
**Crystal system**: monoclinic
**E_form (uncorrected)**: -11.5 eV per formula unit

***

Pr8P3RuI4 | PBE-GGA | optimized geometry

Geometry as POSCAR:
```
Pr8P3RuI4
1.0
4.279 2.470 7.781
-4.279 2.470 7.781
0.000 -4.941 7.781
Pr P Ru I
8 3 1 4
direct
0.231 0.231 0.231 Pr
0.237 0.726 0.726 Pr
0.274 0.274 0.763 Pr
0.274 0.763 0.274 Pr
0.726 0.237 0.726 Pr
0.726 0.726 0.237 Pr
0.763 0.274 0.274 Pr
0.769 0.769 0.769 Pr
0.000 0.000 0.500 P
0.000 0.500 0.000 P
0.500 0.000 0.000 P
0.500 0.500 0.500 Ru
0.000 0.000 0.000 I
0.000 0.500 0.500 I
0.500 0.000 0.500 I
0.500 0.500 0.000 I
```

Computed properties:
**Crystal system**: trigonal
**E_form (uncorrected)**: -18.6 eV per formula unit

***

LiLaFe4 | PBE-GGA | optimized geometry

Geometry as POSCAR:
```
LiLaFe4
1.0
0.000 3.584 3.584
3.584 0.000 3.584
3.584 3.584 0.000
Li La Fe
1 1 4
direct
0.000 0.000 0.000 Li
0.250 0.250 0.250 La
0.121 0.626 0.626 Fe
0.626 0.121 0.626 Fe
0.626 0.626 0.121 Fe
0.626 0.626 0.626 Fe
```

Computed properties:
**Formation energy from the elements**: 0.1701 eV/atom
**Crystal system**: cubic

***

Ca3HoS4 | PBE-GGA | optimized geometry

Geometry as POSCAR:
```
Ca3HoS4
1.0
3.997 -5.640 0.000
3.997 5.640 0.000
0.000 0.000 3.979
Ca Ho S
3 1 4
direct
0.000 0.000 0.000 Ca
0.000 0.500 0.500 Ca
0.500 0.000 0.500 Ca
0.500 0.500 0.000 Ho
0.254 0.746 0.000 S
0.257 0.257 0.500 S
0.743 0.743 0.500 S
0.746 0.254 0.000 S
```

Computed properties:
**Crystal system**: orthorhombic
**E_form (uncorrected)**: -16.8 eV per formula unit

***

K3ZrTe6Pb2 | PBE-GGA | optimized geometry

Geometry as POSCAR:
```
K3ZrTe6Pb2
1.0
3.939 -6.829 0.000
3.939 6.829 0.000
-2.646 0.000 8.193
K Zr Te Pb
3 1 6 2
direct
0.000 0.000 0.000 K
0.324 0.676 0.000 K
0.676 0.324 0.000 K
0.500 0.500 0.500 Zr
0.124 0.432 0.294 Te
0.265 0.265 0.709 Te
0.432 0.124 0.294 Te
0.568 0.876 0.706 Te
0.735 0.735 0.291 Te
0.876 0.568 0.706 Te
0.165 0.835 0.500 Pb
0.835 0.165 0.500 Pb
```

Computed properties:
**Crystal system**: monoclinic
**E_form (uncorrected)**: -9.3 eV per formula unit

***

Pm2Dy | PBE-GGA | optimized geometry

Geometry as POSCAR:
```
Pm2Dy
1.0
-1.753 1.753 16.623
1.753 -1.753 16.623
1.753 1.753 -16.623
Pm Dy
4 2
direct
0.297 0.547 0.750 Pm
0.453 0.703 0.750 Pm
0.547 0.297 0.250 Pm
0.703 0.453 0.250 Pm
0.125 0.875 0.250 Dy
0.875 0.125 0.750 Dy
```

Computed properties:
**Formation energy from the elements**: 0.1357 eV/atom
**Crystal system**: tetragonal
**ΔE to the lowest computed polymorph**: 0.117 eV/atom

***

For each record above, in turn, the calculated electronic total energy values are -7.03; -2.34; -2.60; -5.95; -3.41; -5.66; -6.48; -6.36; -4.14; -3.90; -4.15; -6.35; -5.28; -7.35; -4.73; -6.60; -5.30; -6.54; -4.40; -7.75; -5.54; -6.61; -5.48; -3.95; -4.57 eV per atom.
For each record above, in turn, the calculated theoretical density values are 5.88; 4.92; 6.67; 6.16; 8.84; 7.09; 11.32; 11.51; 8.38; 8.34; 10.53; 6.63; 10.11; 12.12; 4.59; 6.15; 9.26; 5.29; 9.13; 9.88; 6.15; 6.66; 3.83; 5.23; 7.35 g cm⁻³.
For each record above, in turn, the calculated M_tot values are 0.855; 0.626; 0.000; 0.218; 0.000; 0.000; 0.681; 0.179; 0.048; 0.000; 0.000; 1.241; 0.000; 0.124; 0.000; 1.455; 0.000; 0.275; 0.000; 0.000; 0.000; 1.376; 0.000; 0.000; 0.000 μB per atom.